Entry 1:
Material: Ta2ReOs
Method: DFT, PBE
State: relaxed

It has space group Cmm2 (No. 35), with a = 3.1569 Å, b = 4.6197 Å, c = 8.9889 Å, α = 90.00°, β = 90.00° and γ = 90.00°. The inequivalent atoms are Ta at (0.0000, 0.0000, 0.0000), Ta at (0.0000, 0.5000, 0.2660), Re at (0.0000, 0.5000, 0.7541) and Os at (0.0000, 0.0000, 0.5093).

Entry 2:
Material: Ta3ReOs2
Method: DFT, PBE
State: relaxed

It has space group Cmmm (No. 65), with a = 4.5216 Å, b = 13.7524 Å, c = 6.2855 Å, α = 90.00°, β = 90.00° and γ = 90.00°. The inequivalent atoms are Ta at (0.0000, 0.0000, 0.2460), Ta at (0.0000, 0.3297, 0.2528), Re at (0.0000, 0.1654, 0.0000), Os at (0.0000, 0.1555, 0.5000), Os at (0.0000, 0.5000, 0.0000) and Os at (0.0000, 0.5000, 0.5000).

Entry 3:
Material: Ta2ReOs
Method: DFT, PBE
State: relaxed

It has space group R3m (No. 160, hexagonal axes), with a = 2.8118 Å, b = 2.8118 Å, c = 29.0308 Å, α = 90.00°, β = 90.00° and γ = 120.00°. The inequivalent atoms are Ta at (0.0000, 0.0000, 0.0000), Ta at (0.0000, 0.0000, 0.2421), Re at (0.0000, 0.0000, 0.4898) and Os at (0.0000, 0.0000, 0.7502).

Entry 4:
Material: TaReOs4
Method: DFT, PBE
State: relaxed

It has space group F-43m (No. 216), with a = 7.2253 Å, b = 7.2253 Å, c = 7.2253 Å, α = 90.00°, β = 90.00° and γ = 90.00°. The inequivalent atoms are Ta at (0.0000, 0.0000, 0.0000), Re at (0.2500, 0.2500, 0.2500) and Os at (0.1245, 0.1245, 0.6245).

| no. | total energy (eV/atom) |
| --- | --- |
| 1 | -11.766 |
| 2 | -12.048 |
| 3 | -11.688 |
| 4 | -11.207 |